VASP calculation (PBE) on a geometry-optimized KRb2CF6 structure.

As for the uncorrected formation energy: -1.75 eV/atom. Its calculated density is 3.4 Mg/m³.

It has space group Fm-3m (No. 225), with a = 8.667 Å, b = 8.667 Å, c = 8.667 Å, α = 90.00°, β = 90.00° and γ = 90.00°. The distinct sites, in fractional coordinates, are K at (0.000, 0.000, 0.000), Rb at (0.250, 0.250, 0.250), C at (0.000, 0.000, 0.500) and F at (0.000, 0.000, 0.295).